[1]
Computed, not measured: an optimized crystal structure of Sc2AgPt at the GGA-PBE level of DFT.

Cell lengths 3.898, 3.898, 6.956 Å; angles 73.81, 73.81, 59.87 degrees
Atoms (fractional coordinates):
Ag: 0.250 0.250 0.250
Pt: 0.750 0.750 0.750
Sc: 0.010 0.010 0.971
Sc: 0.490 0.490 0.529

Computed properties:
Its space group is C2/m. For the formation energy, the calculation gives -0.5568 eV per atom.

---

[2]
Computed, not measured: an optimized crystal structure of La2Ge5Os3 at the GGA-PBE level of DFT.

Cell lengths 6.088, 8.650, 8.650 Å; angles 92.52, 68.08, 68.08 degrees
Atoms (fractional coordinates):
La: 0.273 0.869 0.599
La: 0.227 0.401 0.131
La: 0.727 0.131 0.401
La: 0.773 0.599 0.869
Ge: 0.340 0.074 0.259
Ge: 0.160 0.741 0.926
Ge: 0.660 0.926 0.741
Ge: 0.840 0.259 0.074
Ge: 0.250 0.229 0.771
Ge: 0.750 0.771 0.229
Ge: 0.250 0.490 0.510
Ge: 0.750 0.510 0.490
Ge: 0.250 0.792 0.208
Ge: 0.750 0.208 0.792
Os: 0.067 0.257 0.546
Os: 0.433 0.454 0.743
Os: 0.933 0.743 0.454
Os: 0.567 0.546 0.257
Os: 0.250 0.996 0.004
Os: 0.750 0.004 0.996

Computed properties:
Its space group is C2/c. For the formation energy, the calculation gives -0.4831 eV per atom.

---

Question: Look up the formation energy of the second one.
Answer: -0.4831 eV per atom